Entry from Alexandria: ZrTe4 at its PBEsol-relaxed geometry (meta-GGA SCAN).

a b c (Å): 5.8629 5.8629 5.8629
angles (deg): 109.47 109.47 109.47
Last column: nearest neighbours and their distance in Å.
Fractional coordinates of all 5 atoms:
Te (0.5000, 0.0000, 0.0000)  2 Zr 2.93
Te (0.0000, 0.5000, 0.0000)  2 Zr 2.93
Te (0.0000, 0.0000, 0.5000)  2 Zr 2.93
Te (0.5000, 0.5000, 0.5000)  2 Zr 2.93
Zr (0.0000, 0.0000, 0.0000)  8 Te 2.93

**SG**: No. 229
**Density**: 6.44 Mg/m³
**Total energy**: -180.5 eV for the cell shown



Entry from Alexandria: Zr2Te3 at its PBEsol-relaxed geometry (meta-GGA SCAN).

a b c (Å): 6.8375 6.8375 7.7921
angles (deg): 63.98 63.98 60.00
Last column: nearest neighbours and their distance in Å.
Fractional coordinates of all 10 atoms:
Zr (0.8393, 0.8393, 0.4821)  6 Te 2.92-2.93, 1 Zr 3.24
Zr (0.1607, 0.1607, 0.5179)  6 Te 2.92-2.93, 1 Zr 3.24
Zr (0.5000, 0.5000, 0.5000)  6 Te 2.88
Zr (0.0000, 0.0000, 0.0000)  6 Te 2.86
Te (0.0738, 0.4294, 0.7681)  4 Zr 2.86-2.93
Te (0.5706, 0.2713, 0.2319)  4 Zr 2.86-2.93
Te (0.7287, 0.0738, 0.7681)  4 Zr 2.86-2.93
Te (0.4294, 0.7287, 0.7681)  4 Zr 2.86-2.93
Te (0.9262, 0.5706, 0.2319)  4 Zr 2.86-2.93
Te (0.2713, 0.9262, 0.2319)  4 Zr 2.86-2.93

**SG**: No. 148
**Density**: 6.90 Mg/m³
**Total energy**: -356.2 eV for the cell shown



Entry from Alexandria: ZrTe5 at its PBEsol-relaxed geometry (meta-GGA SCAN).

a b c (Å): 6.1328 6.1328 6.1328
angles (deg): 60.00 60.00 60.00
Last column: nearest neighbours and their distance in Å.
Fractional coordinates of all 6 atoms:
Zr (0.0000, 0.0000, 0.0000)  16 Te 3.59-3.76
Te (0.1222, 0.6259, 0.6259)  6 Te 3.04-3.09
Te (0.6259, 0.1222, 0.6259)  6 Te 3.04-3.09
Te (0.6259, 0.6259, 0.1222)  6 Te 3.04-3.09
Te (0.6259, 0.6259, 0.6259)  6 Te 3.04-3.09
Te (0.2500, 0.2500, 0.2500)  12 Te 3.60, 4 Zr 3.76

**ΔE to the lowest computed polymorph**: 1019.8 meV per atom
**SG**: No. 216
**Density**: 7.42 Mg/m³
**Total energy**: -214.2 eV for the cell shown



Entry from Alexandria: Zr2Te3 at its PBEsol-relaxed geometry (meta-GGA SCAN).

a b c (Å): 5.0361 5.0361 5.9195
angles (deg): 90.00 90.00 120.00
Last column: nearest neighbours and their distance in Å.
Fractional coordinates of all 5 atoms:
Zr (0.6667, 0.3333, 0.1670)  8 Te 2.88-3.07
Zr (0.3333, 0.6667, 0.8330)  8 Te 2.88-3.07
Te (0.3333, 0.6667, 0.3193)  5 Zr 2.88-3.04
Te (0.0000, 0.0000, 0.0000)  6 Zr 3.07
Te (0.6667, 0.3333, 0.6807)  5 Zr 2.88-3.04

**SG**: No. 164
**Density**: 7.22 Mg/m³
**Total energy**: -176.6 eV for the cell shown



Entry from Alexandria: ZrTe5 at its PBEsol-relaxed geometry (meta-GGA SCAN).

a b c (Å): 3.7898 5.8230 8.2543
angles (deg): 99.00 90.00 108.99
Last column: nearest neighbours and their distance in Å.
Fractional coordinates of all 6 atoms:
Te (0.6432, 0.2864, 0.3024)  3 Te 2.96-3.23, 1 Zr 3.01
Te (0.2983, 0.5967, 0.7315)  1 Te 2.80, 2 Zr 2.98
Te (0.0471, 0.0942, 0.6001)  2 Te 2.80-2.92
Te (0.0480, 0.0959, 0.9538)  1 Te 2.92, 3 Zr 2.97-3.26
Te (0.3711, 0.7422, 0.2487)  2 Zr 2.93, 3 Te 2.96-3.23
Zr (0.7589, 0.5179, 0.9968)  8 Te 2.93-3.26

**ΔE to the lowest computed polymorph**: 176.3 meV per atom
**SG**: No. 8
**Density**: 7.13 Mg/m³
**Total energy**: -219.2 eV for the cell shown



Entry from Alexandria: Zr5Te6 at its PBEsol-relaxed geometry (meta-GGA SCAN).

a b c (Å): 7.0532 11.6164 11.6164
angles (deg): 120.00 90.00 90.00
Last column: nearest neighbours and their distance in Å.
Fractional coordinates of all 33 atoms:
Zr (0.0000, 0.2978, 0.2978)  6 Te 2.82-3.01
Zr (0.4876, 0.3333, 0.6667)  6 Te 2.89-2.94
Zr (0.5124, 0.6667, 0.3333)  6 Te 2.89-2.94
Zr (0.0000, 0.0000, 0.7022)  6 Te 2.82-3.01
Zr (0.5000, 0.3623, 0.0000)  6 Te 2.87-2.98, 1 Zr 3.20
Zr (0.5000, 0.3623, 0.3623)  6 Te 2.87-2.98, 1 Zr 3.20
Zr (0.0000, 0.7022, 0.7022)  6 Te 2.82-3.01
Zr (0.0000, 0.0000, 0.2978)  6 Te 2.82-3.01
Zr (0.5000, 0.6377, 0.6377)  6 Te 2.87-2.98, 1 Zr 3.20
Zr (0.5000, 0.0000, 0.6377)  6 Te 2.87-2.98, 1 Zr 3.20
Zr (0.5000, 0.0000, 0.3623)  6 Te 2.87-2.98, 1 Zr 3.20
Zr (0.0000, 0.2978, 0.0000)  6 Te 2.82-3.01
Zr (0.5000, 0.6377, 0.0000)  6 Te 2.87-2.98, 1 Zr 3.20
Zr (0.0000, 0.0000, 0.0000)  6 Te 2.96
Zr (0.0000, 0.7022, 0.0000)  6 Te 2.82-3.01
Te (0.7937, 0.8819, 0.4410)  5 Zr 2.87-3.01
Te (0.2918, 0.7878, 0.8939)  5 Zr 2.82-2.98
Te (0.7082, 0.2122, 0.1061)  5 Zr 2.82-2.98
Te (0.2063, 0.4410, 0.5591)  5 Zr 2.87-3.01
Te (0.2433, 0.7749, 0.2251)  5 Zr 2.88-2.91
Te (0.7567, 0.2251, 0.7749)  5 Zr 2.88-2.91
Te (0.2918, 0.1061, 0.2122)  5 Zr 2.82-2.98
Te (0.7567, 0.5497, 0.7749)  5 Zr 2.88-2.91
Te (0.2433, 0.7749, 0.5497)  5 Zr 2.88-2.91
Te (0.2433, 0.4503, 0.2251)  5 Zr 2.88-2.91
Te (0.7082, 0.8939, 0.1061)  5 Zr 2.82-2.98
Te (0.2063, 0.1181, 0.5591)  5 Zr 2.87-3.01
Te (0.7937, 0.5591, 0.4410)  5 Zr 2.87-3.01
Te (0.7937, 0.5591, 0.1181)  5 Zr 2.87-3.01
Te (0.2918, 0.1061, 0.8939)  5 Zr 2.82-2.98
Te (0.7567, 0.2251, 0.4503)  5 Zr 2.88-2.91
Te (0.7082, 0.8939, 0.7878)  5 Zr 2.82-2.98
Te (0.2063, 0.4410, 0.8819)  5 Zr 2.87-3.01

**SG**: No. 164
**Density**: 7.38 Mg/m³
**Total energy**: -1163.2 eV for the cell shown